Run w
An optimized crystal structure of TiBi3Sb, computed with PBE-GGA.

abc: 5.421 5.421 5.421
angles: 90.00 90.00 90.00
Atoms (fractional coordinates):
1 Sb 0.500 0.500 0.500
2 Bi 0.000 0.000 0.500
3 Bi 0.000 0.500 0.000
4 Bi 0.500 0.000 0.000
5 Ti 0.000 0.000 0.000

* space-group type: Pm-3m, No. 221



Run x
An optimized crystal structure of TiBi3Sb, computed with PBE-GGA.

abc: 5.747 5.747 5.747
angles: 90.00 90.00 90.00
Last column: magnetic moment on the atom in μB.
Atoms (fractional coordinates):
1 Bi 0.000 0.500 0.000  0.06
2 Bi 0.500 0.000 0.000  0.07
3 Bi 0.000 0.000 0.500  0.02
4 Sb 0.000 0.000 0.000  0.00
5 Ti 0.500 0.500 0.500  -0.01

* space-group type: Pm-3m, No. 221



run w has the most favorable energy; the next structure is 79.2 kJ/mol of atoms above.



Run w
An optimized crystal structure of Tl2BiSb, computed with PBE-GGA.

abc: 5.449 5.449 5.449
angles: 113.38 113.38 101.90
Atoms (fractional coordinates):
1 Bi 0.250 0.750 0.500
2 Tl 0.000 0.000 0.000
3 Tl 0.500 0.500 0.000
4 Sb 0.750 0.250 0.500

* space-group type: I4/mmm, No. 139



Run x
An optimized crystal structure of Tl2BiSb, computed with PBE-GGA.

abc: 5.564 5.564 5.564
angles: 60.00 60.00 60.00
Atoms (fractional coordinates):
1 Bi 0.000 0.000 0.000
2 Tl 0.250 0.250 0.250
3 Tl 0.750 0.750 0.750
4 Sb 0.500 0.500 0.500

* space-group type: Fm-3m, No. 225



Run y
An optimized crystal structure of Tl2BiSb, computed with PBE-GGA.

abc: 5.447 4.774 4.774
angles: 90.00 90.00 90.00
Atoms (fractional coordinates):
1 Tl 0.000 0.000 0.500
2 Tl 0.000 0.500 0.000
3 Sb 0.500 0.000 0.000
4 Bi 0.500 0.500 0.500

* space-group type: P4/mmm, No. 123



run y has the most favorable energy; the next structure is 6.9 kJ/mol of atoms above.



Run w
An optimized crystal structure of V2Bi2Sb, computed with PBE-GGA.

abc: 5.127 5.127 6.130
angles: 65.28 65.28 90.00
Last column: magnetic moment on the atom in μB.
Atoms (fractional coordinates):
1 Bi 0.351 0.351 0.298  -0.12
2 Bi 0.649 0.649 0.702  -0.12
3 V 0.250 0.750 0.500  1.92
4 V 0.750 0.250 0.500  1.92
5 Sb 0.000 0.000 0.000  -0.14

* space-group type: I4/mmm, No. 139



Run x
An optimized crystal structure of V2Bi2Sb, computed with PBE-GGA.

abc: 8.667 8.667 3.269
angles: 90.00 90.00 90.00
Last column: magnetic moment on the atom in μB.
Atoms (fractional coordinates):
1 V 0.644 0.856 0.500  2.56
2 V 0.356 0.144 0.500  2.56
3 V 0.856 0.356 0.500  2.56
4 V 0.144 0.644 0.500  2.56
5 Sb 0.000 0.000 0.000  -0.03
6 Sb 0.500 0.500 0.000  -0.03
7 Bi 0.652 0.152 0.000  -0.10
8 Bi 0.152 0.348 0.000  -0.10
9 Bi 0.848 0.652 0.000  -0.10
10 Bi 0.348 0.848 0.000  -0.10

* space-group type: P4/mbm, No. 127



run x has the most favorable energy; the next structure is 6.1 kJ/mol of atoms above.



Run w
An optimized crystal structure of Bi3SbW, computed with PBE-GGA.

abc: 5.399 5.399 5.399
angles: 90.00 90.00 90.00
Atoms (fractional coordinates):
1 Bi 0.000 0.500 0.000
2 Bi 0.500 0.000 0.000
3 Bi 0.000 0.000 0.500
4 W 0.000 0.000 0.000
5 Sb 0.500 0.500 0.500

* space-group type: Pm-3m, No. 221



Run x
An optimized crystal structure of Bi3SbW, computed with PBE-GGA.

abc: 5.739 5.739 5.739
angles: 90.00 90.00 90.00
Last column: magnetic moment on the atom in μB.
Atoms (fractional coordinates):
1 Bi 0.000 0.500 0.000  -0.19
2 Bi 0.000 0.000 0.500  -0.18
3 Bi 0.500 0.000 0.000  -0.09
4 W 0.500 0.500 0.500  3.20
5 Sb 0.000 0.000 0.000  0.02

* space-group type: Pm-3m, No. 221



run w has the most favorable energy; the next structure is 100.3 kJ/mol of atoms above.



Run w
An optimized crystal structure of BiSbW2, computed with PBE-GGA.

abc: 7.921 7.921 6.307
angles: 51.10 51.10 90.00
Last column: magnetic moment on the atom in μB.
Atoms (fractional coordinates):
1 Bi 0.750 0.250 0.500  0.00
2 Bi 0.000 0.000 0.000  0.00
3 W 0.586 0.125 0.250  0.31
4 W 0.375 0.414 0.750  0.31
5 W 0.164 0.625 0.250  0.31
6 W 0.875 0.836 0.750  0.31
7 Sb 0.250 0.750 0.500  -0.01
8 Sb 0.500 0.500 0.000  -0.01

* space-group type: I-42d, No. 122



Run x
An optimized crystal structure of BiSbW2, computed with PBE-GGA.

abc: 4.785 4.785 4.785
angles: 60.00 60.00 60.00
Atoms (fractional coordinates):
1 W 0.250 0.250 0.250
2 W 0.750 0.750 0.750
3 Bi 0.500 0.500 0.500
4 Sb 0.000 0.000 0.000

* space-group type: Fm-3m, No. 225



run x has the most favorable energy; the next structure is 55.5 kJ/mol of atoms above.



Run w
An optimized crystal structure of YBi2Sb2, computed with PBE-GGA.

abc: 4.190 4.190 9.975
angles: 77.88 77.88 90.00
Atoms (fractional coordinates):
1 Sb 0.750 0.250 0.500
2 Sb 0.250 0.750 0.500
3 Bi 0.582 0.582 0.835
4 Bi 0.418 0.418 0.165
5 Y 0.000 0.000 0.000

* space-group type: I4/mmm, No. 139



Run x
An optimized crystal structure of YBi2Sb2, computed with PBE-GGA.

abc: 8.472 8.472 4.351
angles: 90.00 90.00 90.00
Atoms (fractional coordinates):
1 Bi 0.859 0.641 0.000
2 Bi 0.641 0.141 0.000
3 Bi 0.359 0.859 0.000
4 Bi 0.141 0.359 0.000
5 Sb 0.686 0.814 0.500
6 Sb 0.814 0.314 0.500
7 Sb 0.314 0.186 0.500
8 Sb 0.186 0.686 0.500
9 Y 0.000 0.000 0.000
10 Y 0.500 0.500 0.000

* space-group type: P4/mbm, No. 127



Run y
An optimized crystal structure of YBi2Sb2, computed with PBE-GGA.

abc: 8.329 8.329 4.457
angles: 90.00 90.00 90.00
Atoms (fractional coordinates):
1 Bi 0.172 0.672 0.500
2 Bi 0.672 0.828 0.500
3 Bi 0.828 0.328 0.500
4 Bi 0.328 0.172 0.500
5 Y 0.000 0.000 0.000
6 Y 0.500 0.500 0.000
7 Sb 0.848 0.652 0.000
8 Sb 0.652 0.152 0.000
9 Sb 0.152 0.348 0.000
10 Sb 0.348 0.848 0.000

* space-group type: P4/mbm, No. 127



run y has the most favorable energy; the next structure is 7.9 kJ/mol of atoms above.



Run w
An optimized crystal structure of Y2Bi2Sb, computed with PBE-GGA.

abc: 8.605 8.605 4.108
angles: 90.00 90.00 90.00
Atoms (fractional coordinates):
1 Y 0.657 0.843 0.500
2 Y 0.843 0.343 0.500
3 Y 0.343 0.157 0.500
4 Y 0.157 0.657 0.500
5 Sb 0.500 0.500 0.000
6 Sb 0.000 0.000 0.000
7 Bi 0.353 0.853 0.000
8 Bi 0.853 0.647 0.000
9 Bi 0.147 0.353 0.000
10 Bi 0.647 0.147 0.000

* space-group type: P4/mbm, No. 127



Run x
An optimized crystal structure of Y2Bi2Sb, computed with PBE-GGA.

abc: 8.240 8.240 4.422
angles: 90.00 90.00 90.00
Atoms (fractional coordinates):
1 Bi 0.352 0.148 0.500
2 Bi 0.648 0.852 0.500
3 Bi 0.148 0.648 0.500
4 Bi 0.852 0.352 0.500
5 Y 0.340 0.840 0.000
6 Y 0.160 0.340 0.000
7 Y 0.840 0.660 0.000
8 Y 0.660 0.160 0.000
9 Sb 0.000 0.000 0.000
10 Sb 0.500 0.500 0.000

* space-group type: P4/mbm, No. 127



run x has the most favorable energy; the next structure is 13.0 kJ/mol of atoms above.



Run w
An optimized crystal structure of ZnBi2Sb, computed with PBE-GGA.

abc: 4.417 4.417 7.319
angles: 72.44 72.44 60.00
Atoms (fractional coordinates):
1 Bi 0.260 0.260 0.220
2 Bi 0.740 0.740 0.780
3 Sb 0.500 0.500 0.500
4 Zn 0.000 0.000 0.000

* space-group type: R-3m, No. 166



Run x
An optimized crystal structure of ZnBi2Sb, computed with PBE-GGA.

abc: 6.625 6.625 8.295
angles: 66.46 66.46 90.00
Atoms (fractional coordinates):
1 Zn 0.500 0.500 0.000
2 Zn 0.250 0.750 0.500
3 Sb 0.000 0.000 0.000
4 Sb 0.750 0.250 0.500
5 Bi 0.375 0.411 0.750
6 Bi 0.161 0.625 0.250
7 Bi 0.589 0.125 0.250
8 Bi 0.875 0.839 0.750

* space-group type: I-42d, No. 122



Run y
An optimized crystal structure of ZnBi2Sb, computed with PBE-GGA.

abc: 5.384 5.384 5.384
angles: 60.00 60.00 60.00
Atoms (fractional coordinates):
1 Bi 0.750 0.750 0.750
2 Bi 0.250 0.250 0.250
3 Zn 0.000 0.000 0.000
4 Sb 0.500 0.500 0.500

* space-group type: Fm-3m, No. 225



run w has the most favorable energy; the next structure is 6.9 kJ/mol of atoms above.



Run w
An optimized crystal structure of Zn3BiSb, computed with PBE-GGA.

abc: 6.955 6.955 6.955
angles: 59.76 59.76 59.76
Atoms (fractional coordinates):
1 Bi 0.246 0.246 0.246
2 Bi 0.746 0.746 0.746
3 Sb 0.445 0.445 0.445
4 Sb 0.945 0.945 0.945
5 Zn 0.359 0.608 0.813
6 Zn 0.859 0.313 0.108
7 Zn 0.608 0.813 0.359
8 Zn 0.813 0.359 0.608
9 Zn 0.108 0.859 0.313
10 Zn 0.313 0.108 0.859

* space-group type: R3c, No. 161



Run x
An optimized crystal structure of Zn3BiSb, computed with PBE-GGA.

abc: 5.197 5.197 5.197
angles: 90.00 90.00 90.00
Last column: magnetic moment on the atom in μB.
Atoms (fractional coordinates):
1 Sb 0.000 0.000 0.000  0.03
2 Bi 0.500 0.500 0.500  0.33
3 Zn 0.500 0.000 0.000  0.01
4 Zn 0.000 0.500 0.000  0.00
5 Zn 0.000 0.000 0.500  0.00

* space-group type: Pm-3m, No. 221



run w has the most favorable energy; the next structure is 39.8 kJ/mol of atoms above.



Run w
An optimized crystal structure of ZnBiSb, computed with PBE-GGA.

abc: 4.914 4.914 4.914
angles: 60.00 60.00 60.00
Atoms (fractional coordinates):
1 Zn 0.250 0.250 0.250
2 Sb 0.500 0.500 0.500
3 Bi 0.000 0.000 0.000

* space-group type: F-43m, No. 216



Run x
An optimized crystal structure of ZnBiSb, computed with PBE-GGA.

abc: 4.295 4.295 5.051
angles: 90.00 90.00 120.00
Atoms (fractional coordinates):
1 Sb 0.667 0.333 0.375
2 Zn 0.333 0.667 0.642
3 Bi 0.000 0.000 0.983

* space-group type: P3m1, No. 156



run x has the most favorable energy; the next structure is 4.5 kJ/mol of atoms above.



Run w
An optimized crystal structure of ZnBiSb3, computed with PBE-GGA.

abc: 5.256 5.256 5.256
angles: 90.00 90.00 90.00
Atoms (fractional coordinates):
1 Sb 0.000 0.500 0.000
2 Sb 0.000 0.000 0.500
3 Sb 0.500 0.000 0.000
4 Bi 0.500 0.500 0.500
5 Zn 0.000 0.000 0.000

* space-group type: Pm-3m, No. 221



Run x
An optimized crystal structure of ZnBiSb3, computed with PBE-GGA.

abc: 5.908 5.908 5.908
angles: 90.00 90.00 90.00
Atoms (fractional coordinates):
1 Sb 0.500 0.000 0.000
2 Sb 0.000 0.500 0.000
3 Sb 0.000 0.000 0.500
4 Zn 0.500 0.500 0.500
5 Bi 0.000 0.000 0.000

* space-group type: Pm-3m, No. 221



run w has the most favorable energy; the next structure is 54.1 kJ/mol of atoms above.



Run w
An optimized crystal structure of Zr2Bi2Sb, computed with PBE-GGA.

abc: 8.402 8.402 3.786
angles: 90.00 90.00 90.00
Atoms (fractional coordinates):
1 Zr 0.145 0.645 0.500
2 Zr 0.355 0.145 0.500
3 Zr 0.645 0.855 0.500
4 Zr 0.855 0.355 0.500
5 Bi 0.148 0.352 0.000
6 Bi 0.352 0.852 0.000
7 Bi 0.648 0.148 0.000
8 Bi 0.852 0.648 0.000
9 Sb 0.000 0.000 0.000
10 Sb 0.500 0.500 0.000

* space-group type: P4/mbm, No. 127



Run x
An optimized crystal structure of Zr2Bi2Sb, computed with PBE-GGA.

abc: 7.959 7.959 4.090
angles: 90.00 90.00 90.00
Atoms (fractional coordinates):
1 Zr 0.347 0.847 0.000
2 Zr 0.153 0.347 0.000
3 Zr 0.847 0.653 0.000
4 Zr 0.653 0.153 0.000
5 Sb 0.000 0.000 0.000
6 Sb 0.500 0.500 0.000
7 Bi 0.646 0.854 0.500
8 Bi 0.146 0.646 0.500
9 Bi 0.354 0.146 0.500
10 Bi 0.854 0.354 0.500

* space-group type: P4/mbm, No. 127



run x has the most favorable energy; the next structure is 31.1 kJ/mol of atoms above.